Material: SrCaMo
Method: DFT, GGA-PBE
State: relaxed

Cell and atoms, written as POSCAR:
```
SrCaMo
1.0
-2.551 -5.146 6.253
-0.693 -7.166 4.493
2.418 0.379 2.154
Mo Ca Sr
1 1 1
Direct
0.337 0.337 0.663
0.970 0.970 0.030
0.693 0.693 0.307
```

Results
**Crystal system**: orthorhombic
**Energy above the most stable polymorph in this dataset**: 0.000 eV/atom
**Total DFT energy (no corrections)**: -11.8 eV per cell
**Energy of formation**: 899 meV/atom
**Magnetic moment**: 0.13 μB per formula unit
**Space group**: Fmm2 (42)